A plane-wave DFT calculation with PBE was carried out for a relaxed GaNiS6 crystal.

Values from the calculation:
N(E_F) in states/eV per atom: 0.164
Formation energy without anion corrections in eV per atom: 0.028

a b c (Å): 5.2972 5.5609 7.6860
angles (deg): 107.28 97.01 96.18
Closest atoms and distances in Å follow each position.
Positions (direct):
Ga 0.0000 0.0000 0.0000  2 S 2.50, 2 Ni 2.65
Ni 0.5000 0.0000 0.0000  4 S 2.16-2.20
S 0.0286 0.3257 0.3096  1 S 2.05
S 0.3599 0.7771 0.7087  2 S 2.05-2.06, 1 Ni 2.20
S 0.4535 0.1669 0.7796  1 S 2.06, 1 Ni 2.16
S 0.5465 0.8331 0.2204  1 S 2.06, 1 Ni 2.16
S 0.6401 0.2229 0.2913  2 S 2.05-2.06, 1 Ni 2.20
S 0.9714 0.6743 0.6904  1 S 2.05